# Cs2TlMoF8 PBE+U relaxed
data_Cs2TlMoF8
_cell_length_a 6.3899
_cell_length_b 6.3899
_cell_length_c 12.0628
_cell_angle_alpha 90.00
_cell_angle_beta 90.00
_cell_angle_gamma 90.00
_space_group_name_H-M_alt 'I -4 m 2'
_space_group_IT_number 119
_space_group_name_Hall 'I -4 -2'
loop_
_atom_site_label
_atom_site_fract_x
_atom_site_fract_y
_atom_site_fract_z
Cs1 0.0000 0.0000 0.0000
Cs2 0.0000 0.5000 0.2500
Tl1 0.0000 0.0000 0.5000
Mo1 0.0000 0.5000 0.7500
F1 0.1845 0.3128 0.6501
# E in eV/atom: -4.588
# Magnetization in μB per cell: 2.00